[1]
The following is a GGA-PBEsol calculation of an optimized crystal structure of Li2ZnRh, from Alexandria.

a b c (Å): 2.795 4.355 4.402
angles (deg): 90.00 90.00 93.26
Fractional coordinates of all 4 atoms:
Rh 0.000 0.500 0.500
Zn 0.500 0.000 0.500
Li 0.258 0.267 0.000
Li 0.742 0.733 0.000

Results
Its volume is 13.37 A^3/atom. The value obtained for the total DFT energy (no corrections) is -14.44 eV/cell.

[2]
The following is a GGA-PBEsol calculation of an optimized crystal structure of Li2ZnRh, from Alexandria.

a b c (Å): 3.072 4.047 4.183
angles (deg): 90.00 90.00 90.00
Fractional coordinates of all 4 atoms:
Li 0.000 0.000 0.000
Rh 0.500 0.000 0.500
Zn 0.000 0.500 0.500
Li 0.500 0.500 0.000

Results
Its volume is 13.00 A^3/atom. The value obtained for the total DFT energy (no corrections) is -14.72 eV/cell.

[3]
The following is a GGA-PBEsol calculation of an optimized crystal structure of Li2ZnRh, from Alexandria.

a b c (Å): 3.045 4.078 4.899
angles (deg): 114.21 108.10 90.00
Fractional coordinates of all 4 atoms:
Li 0.251 0.251 0.502
Rh 0.000 0.500 0.000
Li 0.749 0.749 0.498
Zn 0.500 0.000 0.000

Results
Its volume is 13.04 A^3/atom. The value obtained for the total DFT energy (no corrections) is -14.69 eV/cell.

[4]
The following is a GGA-PBEsol calculation of an optimized crystal structure of LiZn2Rh2, from Alexandria.

a b c (Å): 2.950 6.978 6.978
angles (deg): 90.00 90.00 90.00
Fractional coordinates of all 10 atoms:
Zn 0.500 0.162 0.662
Zn 0.500 0.838 0.338
Zn 0.500 0.662 0.838
Rh 0.000 0.365 0.865
Rh 0.000 0.635 0.135
Rh 0.000 0.135 0.365
Li 0.000 0.500 0.500
Li 0.000 0.000 0.000
Zn 0.500 0.338 0.162
Rh 0.000 0.865 0.635

Results
Its volume is 14.36 A^3/atom. The value obtained for the total DFT energy (no corrections) is -45.01 eV/cell.